# 1
Density functional theory data (PBE) for an optimized crystal structure of Nd8Ge3OsBr4.

```
Nd8Ge3OsBr4
1.0
8.595 0.000 0.000
0.000 8.900 0.210
-4.298 -4.295 6.080
Nd Ge Os Br
8 3 1 4
direct
0.228 0.705 0.978 Nd
0.228 0.705 0.455 Nd
0.262 0.285 0.523 Nd
0.750 0.705 0.978 Nd
0.250 0.295 0.022 Nd
0.738 0.715 0.477 Nd
0.772 0.295 0.545 Nd
0.772 0.295 0.022 Nd
0.500 0.500 0.000 Ge
0.500 0.500 0.500 Ge
0.000 0.500 0.500 Ge
0.000 0.500 0.000 Os
0.500 0.000 0.000 Br
0.500 0.000 0.500 Br
0.000 0.000 0.000 Br
0.000 0.000 0.500 Br
```

* formation energy (no corrections): -1.023 eV/atom
* DFT total energy: -5.39 eV per atom
* V: 29.552 A^3/atom
* SG: No. 166

---

# 2
Density functional theory data (PBE) for an optimized crystal structure of Nd4GeOsBr2.

```
Nd4GeOsBr2
1.0
-1.058 -1.898 -3.600
7.251 -1.020 -1.593
-2.441 -6.368 4.074
Nd Ge Os Br
4 1 1 2
direct
0.500 0.256 0.197 Nd
0.500 0.744 0.803 Nd
0.000 0.275 0.799 Nd
0.000 0.725 0.201 Nd
0.000 0.000 0.000 Ge
0.500 0.500 0.000 Os
0.500 0.000 0.500 Br
0.000 0.500 0.500 Br
```

* formation energy (no corrections): -0.905 eV/atom
* DFT total energy: -5.69 eV per atom
* V: 29.871 A^3/atom
* SG: No. 10

---

# 3
Density functional theory data (PBE) for an optimized crystal structure of Nd6Ge2P3Br.

```
Nd6Ge2P3Br
1.0
-1.098 -2.702 2.973
8.207 -2.442 0.812
-0.258 8.313 4.543
Nd Ge P Br
6 2 3 1
direct
0.327 0.919 0.654 Nd
0.666 0.590 0.331 Nd
0.673 0.081 0.346 Nd
0.999 0.272 0.998 Nd
0.001 0.728 0.002 Nd
0.334 0.410 0.669 Nd
0.835 0.670 0.670 Ge
0.165 0.330 0.330 Ge
0.500 0.500 0.000 P
0.836 0.165 0.673 P
0.164 0.835 0.327 P
0.500 0.000 0.000 Br
```

* formation energy (no corrections): -1.293 eV/atom
* DFT total energy: -5.94 eV per atom
* V: 26.821 A^3/atom
* SG: No. 12

---

# 4
Density functional theory data (PBE) for an optimized crystal structure of Nd8GeP3Br4.

```
Nd8GeP3Br4
1.0
-1.693 7.311 -3.788
-2.291 -4.313 -7.299
-3.833 -1.982 7.215
Nd Ge P Br
8 1 3 4
direct
0.239 0.704 0.966 Nd
0.239 0.704 0.477 Nd
0.266 0.299 0.533 Nd
0.727 0.704 0.966 Nd
0.273 0.296 0.034 Nd
0.734 0.701 0.467 Nd
0.761 0.296 0.523 Nd
0.761 0.296 0.034 Nd
0.000 0.500 0.000 Ge
0.500 0.500 0.000 P
0.500 0.500 0.500 P
0.000 0.500 0.500 P
0.500 0.000 0.000 Br
0.500 0.000 0.500 Br
0.000 0.000 0.000 Br
0.000 0.000 0.500 Br
```

* formation energy (no corrections): -1.416 eV/atom
* DFT total energy: -5.52 eV per atom
* V: 27.995 A^3/atom
* SG: No. 166